Entry from Alexandria: crystalline SrSc4Ge3O12 at its relaxed geometry (PBE).

Unit cell a=7.842 b=7.842 c=7.842 alpha=90.00 beta=90.00 gamma=90.00
Space group Im-3 (No. 204)
Inequivalent atoms, fractional coordinates:
1 Sr 0.000 0.000 0.000 x2
2 Sc 0.250 0.250 0.250 x8
3 Ge 0.000 0.000 0.500 x6
4 O 0.000 0.317 0.170 x24

Summary:
* magnetic moment: 2.638 μB/cell
* theoretical density: 4.66 g cm⁻³
* E_form (uncorrected): -2.4302 eV per atom